Record 1
This record from Alexandria describes a relaxed La2In3Ge crystal. The functional is PBE.

Output
Formation enthalpy at 0 K   -0.512 eV per atom

Unit cell a=4.2557 b=4.8058 c=8.1927 alpha=90.00 beta=90.00 gamma=90.00
Closest atoms and distances in Å follow each position.
Positions (direct):
La: 0.0000 0.5000 0.0201  2 Ge 3.31, 10 In 3.45-3.65
La: 0.0000 0.0000 0.4870  8 In 3.34-3.53, 4 Ge 3.46
In: 0.5000 0.0000 0.8315  3 In 2.79-2.80
In: 0.5000 0.5000 0.6586  1 Ge 2.69, 2 In 2.79
In: 0.5000 0.0000 0.1729  2 Ge 2.73, 1 In 2.80
Ge: 0.5000 0.5000 0.3299  3 In 2.69-2.73

Record 2
This record from Alexandria describes a relaxed LaInGe crystal. The functional is PBE.

Output
Formation enthalpy at 0 K   -0.607 eV per atom

Unit cell a=4.7353 b=4.4749 c=4.4749 alpha=120.00 beta=90.00 gamma=90.00
Closest atoms and distances in Å follow each position.
Positions (direct):
Ge: 0.2792 0.3333 0.6667  3 In 2.76
La: 0.6437 0.6667 0.3333  3 Ge 3.11, 3 In 3.30
In: 0.0771 0.0000 0.0000  3 Ge 2.76

Record 3
This record from Alexandria describes a relaxed LaIn2Ge crystal. The functional is PBE.

Output
Formation enthalpy at 0 K   0.150 eV per atom

Unit cell a=3.4541 b=3.4541 c=11.2969 alpha=81.21 beta=81.21 gamma=60.00
Closest atoms and distances in Å follow each position.
Positions (direct):
Ge: 0.5000 0.5000 0.5000  6 In 3.02
In: 0.0987 0.0987 0.7039  3 Ge 3.02, 1 La 3.29
In: 0.9013 0.9013 0.2961  3 Ge 3.02, 1 La 3.29
La: 0.0000 0.0000 0.0000  2 In 3.29, 6 La 3.45

Record 4
This record from Alexandria describes a relaxed LaInGe crystal. The functional is PBE.

Output
Formation enthalpy at 0 K   -0.550 eV per atom

Unit cell a=3.9848 b=4.4952 c=9.6207 alpha=76.49 beta=90.00 gamma=90.00
Closest atoms and distances in Å follow each position.
Positions (direct):
Ge: 0.2500 0.5443 0.9115  2 Ge 2.59
Ge: 0.7500 0.4557 0.0885  2 Ge 2.59
In: 0.2500 0.2657 0.4685  4 In 3.06
In: 0.7500 0.7343 0.5314  4 In 3.06
La: 0.2500 0.9076 0.1848  6 Ge 3.14-3.40, 2 In 3.48
La: 0.7500 0.0924 0.8152  6 Ge 3.14-3.40, 2 In 3.48

Record 5
This record from Alexandria describes a relaxed LaInGe2 crystal. The functional is PBE.

Output
Formation enthalpy at 0 K   -0.467 eV per atom

Unit cell a=4.3737 b=4.3737 c=10.2319 alpha=89.99 beta=89.99 gamma=90.00
Closest atoms and distances in Å follow each position.
Positions (direct):
In: 0.9081 0.4085 0.7690  6 Ge 2.96-3.10, 2 La 3.25-3.26
In: 0.4085 0.9081 0.2690  6 Ge 2.96-3.10, 2 La 3.25-3.26
La: 0.9087 0.9084 0.0046  8 Ge 3.17-3.37, 4 In 3.25-3.48
La: 0.9084 0.9087 0.5046  8 Ge 3.17-3.37, 4 In 3.25-3.48
Ge: 0.4081 0.9084 0.7549  2 Ge 2.86, 4 In 3.10
Ge: 0.4083 0.4087 0.5746  2 Ge 2.86, 2 In 2.96, 4 La 3.17
Ge: 0.9084 0.4081 0.2549  2 Ge 2.86, 4 In 3.10
Ge: 0.4087 0.4083 0.0746  2 Ge 2.86, 2 In 2.96, 4 La 3.17

Record 6
This record from Alexandria describes a relaxed La5InGe2 crystal. The functional is PBE.

Output
Formation enthalpy at 0 K   -0.622 eV per atom

Unit cell a=8.2148 b=8.2148 c=9.3683 alpha=116.00 beta=116.00 gamma=90.00
Closest atoms and distances in Å follow each position.
Positions (direct):
La: 0.9692 0.4692 0.2824  3 Ge 3.13-3.23, 2 In 3.44
La: 0.5000 0.5000 0.0000  4 Ge 3.24
La: 0.0000 0.0000 0.0000  4 Ge 3.24
La: 0.8132 0.9692 0.2824  3 Ge 3.13-3.23, 2 In 3.44
La: 0.1868 0.0308 0.7176  3 Ge 3.13-3.23, 2 In 3.44
La: 0.4692 0.3132 0.2824  3 Ge 3.13-3.23, 2 In 3.44
La: 0.3132 0.8132 0.2824  3 Ge 3.13-3.23, 2 In 3.44
La: 0.0308 0.5308 0.7176  3 Ge 3.13-3.23, 2 In 3.44
La: 0.6868 0.1868 0.7176  3 Ge 3.13-3.23, 2 In 3.44
La: 0.5308 0.6868 0.7176  3 Ge 3.13-3.23, 2 In 3.44
In: 0.7500 0.7500 0.5000  10 La 3.44-3.68
In: 0.2500 0.2500 0.5000  10 La 3.44-3.68
Ge: 0.1262 0.3738 0.0000  1 Ge 2.93, 8 La 3.13-3.24
Ge: 0.8738 0.6262 0.0000  1 Ge 2.93, 8 La 3.13-3.24
Ge: 0.3738 0.8738 0.0000  1 Ge 2.93, 8 La 3.13-3.24
Ge: 0.6262 0.1262 0.0000  1 Ge 2.93, 8 La 3.13-3.24